(1)
This record from Alexandria describes a geometry-optimized Cr2HRu structure. The functional is PBE-GGA.

The structure in POSCAR format:
```
Cr2HRu
1.0
-2.466 2.466 3.485
2.466 -2.466 3.485
2.466 2.466 -3.485
Cr H Ru
4 2 2
Cartesian
0.012 1.233 0.871
-1.233 2.454 2.614
-0.012 3.699 0.871
1.233 2.478 2.614
0.000 0.000 0.000
0.000 2.466 1.742
2.466 0.000 1.742
0.000 0.000 3.485
```

Relative energy among the computed polymorphs: 395 meV per atom

=====

(2)
This record from Alexandria describes a geometry-optimized Hf2BW structure. The functional is PBE-GGA.

The structure in POSCAR format:
```
Hf2BW
1.0
1.547 0.893 8.458
-1.547 0.893 8.458
0.000 -1.787 8.458
Hf B W
2 1 1
Cartesian
0.000 0.000 2.706
0.000 0.000 22.668
0.000 0.000 12.687
0.000 0.000 0.000
```

Formation energy: 1.73 eV/f.u.

=====

(3)
This record from Alexandria describes a geometry-optimized Ac4La7Y structure. The functional is PBE-GGA.

The structure in POSCAR format:
```
Ac4La7Y
1.0
6.656 0.000 0.000
0.018 7.648 0.000
2.220 0.000 9.283
Ac La Y
4 7 1
Cartesian
2.199 1.978 3.048
3.311 0.000 6.235
5.565 0.000 3.048
6.695 5.670 6.235
0.038 5.689 0.033
2.226 5.711 3.026
3.386 3.818 6.235
3.328 0.000 0.000
5.508 3.831 3.049
6.668 1.937 6.258
8.855 1.959 9.250
3.337 3.824 0.000
```

Formation energy: 0.32 eV/f.u.

=====

(4)
This record from Alexandria describes a geometry-optimized Si2HRh structure. The functional is PBE-GGA.

The structure in POSCAR format:
```
Si2HRh
1.0
0.000 2.872 2.872
2.872 0.000 2.872
2.872 2.872 0.000
Si H Rh
2 1 1
Cartesian
1.436 1.436 1.436
4.308 4.308 4.308
0.000 0.000 0.000
2.872 2.872 2.872
```

Energy: -5.222 eV/atom

=====

(5)
This record from Alexandria describes a geometry-optimized LiBi2O4 structure. The functional is PBE-GGA.

The structure in POSCAR format:
```
LiBi2O4
1.0
8.200 0.000 0.000
0.000 8.200 0.000
0.000 0.000 6.120
Li Bi O
4 8 16
Cartesian
2.050 2.050 0.328
2.050 2.050 3.388
6.150 6.150 2.732
6.150 6.150 5.792
0.609 4.709 1.530
0.609 7.590 4.590
3.491 4.709 4.590
3.491 7.590 1.530
4.709 0.609 4.590
4.709 3.491 1.530
7.590 0.609 1.530
7.590 3.491 4.590
0.173 1.353 3.607
0.173 2.747 0.547
1.353 0.173 0.547
1.353 3.927 3.607
2.747 0.173 3.607
2.747 3.927 0.547
3.927 1.353 0.547
3.927 2.747 3.607
4.273 5.453 2.513
4.273 6.847 5.572
5.453 4.273 5.572
5.453 8.027 2.513
6.847 4.273 2.513
6.847 8.027 5.572
8.027 5.453 5.572
8.027 6.847 2.513
```

Relative energy among the computed polymorphs: 34 meV per atom
ΔE_f (raw): -1.229 eV per atom

=====

(6)
This record from Alexandria describes a geometry-optimized Sm2CuAg structure. The functional is PBE-GGA.

The structure in POSCAR format:
```
Sm2CuAg
1.0
0.000 3.642 3.642
3.642 0.000 3.642
3.642 3.642 0.000
Sm Cu Ag
2 1 1
Cartesian
1.821 1.821 1.821
5.463 5.463 5.463
0.000 0.000 0.000
3.642 3.642 3.642
```

Relative energy among the computed polymorphs: 23 meV per atom
Formation energy: -0.82 eV/f.u.

=====

(7)
This record from Alexandria describes a geometry-optimized CrReHg structure. The functional is PBE-GGA.

The structure in POSCAR format:
```
CrReHg
1.0
0.000 2.999 2.999
2.999 0.000 2.999
2.999 2.999 0.000
Cr Re Hg
1 1 1
Cartesian
0.000 0.000 0.000
4.499 4.499 4.499
1.500 1.500 1.500
```

Relative energy among the computed polymorphs: 503 meV per atom
Formation energy: 2.96 eV/f.u.

=====

(8)
This record from Alexandria describes a geometry-optimized PuAgSe3 structure. The functional is PBE-GGA.

The structure in POSCAR format:
```
PuAgSe3
1.0
3.767 2.175 3.374
-3.767 2.175 3.374
0.000 -4.350 3.374
Pu Ag Se
1 1 3
Cartesian
0.000 0.000 0.000
0.000 0.000 6.942
0.000 -2.126 1.737
-1.841 1.063 1.737
1.841 1.063 1.737
```

ΔE_f (raw): -0.506 eV per atom